A plane-wave DFT calculation with PBE was carried out for crystalline Cs3AuF6 at its relaxed geometry.

The space group is P-1 (No. 2) and the conventional cell measures 7.612, 7.665 and 7.746 Å, with angles of 74.71, 73.30 and 88.49 degrees. Symmetry generates all atoms from Cs at (0.000, 0.000, 0.000), Cs at (0.000, 0.500, 0.500), Cs at (0.500, 0.000, 0.500), Au at (0.000, 0.000, 0.500), F at (0.070, 0.797, 0.683), F at (0.201, 0.206, 0.633) and F at (0.211, 0.952, 0.300).

The value obtained for the calculated total energy is -3.76 eV/atom. Its uncorrected formation energy is -2.06 eV/atom. The value obtained for the total magnetization is 0.14 μB per cell. The volume is 41.7 A^3/atom.



A plane-wave DFT calculation with PBE was carried out for crystalline Cs4AuF3 at its relaxed geometry.

The space group is C2/m (No. 12) and the conventional cell measures 12.921, 9.280 and 4.502 Å, with angles of 90.00, 92.06 and 90.00 degrees. Symmetry generates all atoms from Cs at (0.000, 0.218, 0.000), Cs at (0.237, 0.000, 0.554), Au at (0.000, 0.500, 0.500), F at (0.000, 0.000, 0.500) and F at (0.250, 0.250, 0.000).

The value obtained for the calculated total energy is -3.54 eV/atom. Its uncorrected formation energy is -2.00 eV/atom. The value obtained for the total magnetization is 0.00 μB per cell. The volume is 33.7 A^3/atom.



A plane-wave DFT calculation with PBE was carried out for crystalline CsAu2F7 at its relaxed geometry.

The space group is Cmmm (No. 65) and the conventional cell measures 6.548, 13.152 and 4.279 Å, with angles of 90.00, 90.00 and 90.00 degrees. Symmetry generates all atoms from Cs at (0.000, 0.000, 0.000), Au at (0.000, 0.335, 0.500), F at (0.000, 0.335, 0.000), F at (0.000, 0.500, 0.500) and F at (0.195, 0.155, 0.500).

The energy above the most stable polymorph in this dataset is 126.1 meV/atom. The value obtained for the calculated total energy is -3.40 eV/atom. Its uncorrected formation energy is -1.35 eV/atom. The value obtained for the total magnetization is 0.00 μB per cell. The volume is 18.4 A^3/atom.